Entry 1:
VASP calculation (GGA-PBE) on crystalline SrNdEu2 at its relaxed geometry.

POSCAR file:
```
SrNdEu2
1.0
3.8963 0.0000 0.0000
0.0000 3.8963 0.0000
0.0000 0.0000 11.2522
Sr Nd Eu
1 1 2
Cartesian
0.0000 0.0000 0.0000 Sr
0.0000 0.0000 5.6261 Nd
1.9482 1.9482 3.0612 Eu
1.9482 1.9482 8.1909 Eu
```

Values from the calculation:
- energy of formation from the pure elements (eV/f.u.) = 0.25
- crystal system = tetragonal
- distance to the lowest polymorph of the same formula (kJ per mole of atoms) = 0.00

---

Entry 2:
VASP calculation (GGA-PBE) on crystalline ThGaHg at its relaxed geometry.

POSCAR file:
```
ThGaHg
1.0
-5.7200 5.7200 2.3907
5.7200 -5.7200 2.3907
5.7200 5.7200 -2.3907
Th Ga Hg
4 4 4
Cartesian
2.4494 0.0000 0.0000 Th
8.9906 0.0000 0.0000 Th
0.0000 2.4494 0.0000 Th
0.0000 8.9906 0.0000 Th
3.3982 3.3982 0.0000 Ga
2.3218 -2.3218 2.3907 Ga
-2.3218 2.3218 2.3907 Ga
2.3218 2.3218 2.3907 Ga
5.7200 1.4289 0.0000 Hg
1.4289 5.7200 0.0000 Hg
4.2911 0.0000 2.3907 Hg
0.0000 4.2911 2.3907 Hg
```

Values from the calculation:
- energy of formation from the pure elements (eV/f.u.) = -0.32
- crystal system = tetragonal
- distance to the lowest polymorph of the same formula (kJ per mole of atoms) = 25.51

---

Entry 3:
VASP calculation (GGA-PBE) on crystalline BaSmHg at its relaxed geometry.

POSCAR file:
```
BaSmHg
1.0
5.3757 0.0000 0.0000
-2.6878 4.6555 0.0000
0.0000 0.0000 4.4725
Ba Sm Hg
1 1 1
Cartesian
0.0000 0.0000 0.0000 Ba
0.0000 3.1037 2.2363 Sm
2.6878 1.5518 2.2363 Hg
```

Values from the calculation:
- energy of formation from the pure elements (eV/f.u.) = -0.44
- crystal system = hexagonal
- distance to the lowest polymorph of the same formula (kJ per mole of atoms) = 10.77

---

Entry 4:
VASP calculation (GGA-PBE) on crystalline As2P at its relaxed geometry.

POSCAR file:
```
As2P
1.0
4.5674 0.0000 0.0000
1.8218 4.8748 0.0000
1.3043 1.7467 5.7703
As P
4 2
Cartesian
0.7685 0.4960 0.8601 As
2.3378 2.3181 2.9426 As
5.3558 4.3035 2.8278 As
6.9251 6.1255 4.9102 As
3.7179 3.1602 4.6760 P
3.9756 3.4614 1.0943 P
```

Values from the calculation:
- energy of formation from the pure elements (eV/f.u.) = 0.46
- crystal system = triclinic
- distance to the lowest polymorph of the same formula (kJ per mole of atoms) = 9.04

---

Entry 5:
VASP calculation (GGA-PBE) on crystalline KRbCo2Ir at its relaxed geometry.

POSCAR file:
```
KRbCo2Ir
1.0
4.7999 0.0000 0.0000
0.0000 4.7999 0.0000
0.0000 0.0000 5.3157
K Rb Co Ir
1 1 2 1
Cartesian
0.0000 0.0000 0.0000 K
0.0000 0.0000 2.6578 Rb
0.0000 2.4000 0.0000 Co
2.4000 0.0000 0.0000 Co
2.4000 2.4000 2.6578 Ir
```

Values from the calculation:
- energy of formation from the pure elements (eV/f.u.) = 12.42
- crystal system = tetragonal

---

Summary of final energy in eV/atom
-6.687; -3.688; -2.461; -4.750; -2.544
(order as listed above)